Entry 1:
Material: Ni2Pt5Rh5
Method: DFT, PBE
State: relaxed

As for the total moment: 0.390 μB/atom. The volume comes out at 346.2 Å³/cell. Its density of states at the Fermi level is 18.7 states/eV/f.u. Its total energy is -6.566 eV/atom. The calculation puts the calculated formation energy at -22 meV/atom.

a b c (Å): 11.5803 3.8651 8.6450
angles (deg): 90.00 116.52 90.00
Space group C2/m (No. 12)
Inequivalent atoms, fractional coordinates:
Ni 0.0831 0.0000 0.2532 (multiplicity 4)
Pt 0.0000 0.0000 0.5000 (multiplicity 2)
Pt 0.1618 0.0000 0.9991 (multiplicity 4)
Pt 0.2456 0.5000 0.2509 (multiplicity 4)
Rh 0.0000 0.5000 0.0000 (multiplicity 2)
Rh 0.0776 0.5000 0.7477 (multiplicity 4)
Rh 0.1677 0.5000 0.4984 (multiplicity 4)

***

Entry 2:
Material: AgP2Pd8
Method: DFT, PBE
State: relaxed

As for the total moment: 0.000 μB/atom. The volume comes out at 409.5 Å³/cell. Its density of states at the Fermi level is 6.7 states/eV/f.u. Its total energy is -5.013 eV/atom. The calculation puts the calculated formation energy at 7 meV/atom.

a b c (Å): 18.5083 5.1665 4.3962
angles (deg): 90.00 103.05 90.00
Space group C2/m (No. 12)
Inequivalent atoms, fractional coordinates:
Ag 0.0000 0.0000 0.0000 (multiplicity 2)
P 0.1851 0.0000 0.6694 (multiplicity 4)
Pd 0.0762 0.2549 0.5758 (multiplicity 8)
Pd 0.1508 0.0000 0.1341 (multiplicity 4)
Pd 0.2038 0.5000 0.4614 (multiplicity 4)